Entry 1:
AcPmSmAl | GGA-PBE | optimized geometry

The structure belongs to space group F-43m (No. 216); the cell edges are 7.913, 7.913 and 7.913 Å and the angles 90.00°, 90.00° and 90.00°. The asymmetric unit holds Ac at (0.000, 0.000, 0.000), Pm at (0.250, 0.250, 0.250), Sm at (0.250, 0.250, 0.750) and Al at (0.000, 0.000, 0.500).

The calculation puts the formation energy at 0.05 eV/atom. The value obtained for the volume is 495 Å³/cell.

---

Entry 2:
AcPmThAl | GGA-PBE | optimized geometry

The structure belongs to space group F-43m (No. 216); the cell edges are 7.919, 7.919 and 7.919 Å and the angles 90.00°, 90.00° and 90.00°. The asymmetric unit holds Ac at (0.000, 0.000, 0.000), Pm at (0.250, 0.250, 0.750), Th at (0.250, 0.250, 0.250) and Al at (0.000, 0.000, 0.500).

The calculation puts the formation energy at 0.11 eV/atom. The value obtained for the volume is 497 Å³/cell.